Record 1
# LaMnIr2, optimized geometry, DFT PBE
data_LaMnIr2
_chemical_formula_sum 'La1 Mn1 Ir2'
_space_group_name_H-M_alt 'P 1 m 1'
_space_group_IT_number 6
_space_group_name_Hall 'P -2y'
_cell_length_a 3.1158
_cell_length_b 4.4255
_cell_length_c 5.6550
_cell_angle_alpha 90.00
_cell_angle_beta 100.67
_cell_angle_gamma 90.00
loop_
_atom_site_label
_atom_site_fract_x
_atom_site_fract_y
_atom_site_fract_z
_atom_site_occupancy
La1 0.0000 0.0000 0.0000 1
Mn1 0.8111 0.5000 0.4107 1
Ir1 0.3872 0.0000 0.4890 1
Ir2 0.4399 0.5000 0.7925 1
# ρ in g cm⁻³: 12.5
# Calculated total energy in eV per atom: -8.019
# Total magnetization in μB per atom: 1.010

=====

Record 2
# LaMn2MoIr, optimized geometry, DFT PBE
data_LaMn2MoIr
_chemical_formula_sum 'La1 Mn2 Mo1 Ir1'
_space_group_name_H-M_alt 'P 4/m m m'
_space_group_IT_number 123
_space_group_name_Hall '-P 4 2'
_cell_length_a 4.4927
_cell_length_b 4.4927
_cell_length_c 5.4480
_cell_angle_alpha 90.00
_cell_angle_beta 90.00
_cell_angle_gamma 90.00
loop_
_atom_site_label
_atom_site_fract_x
_atom_site_fract_y
_atom_site_fract_z
_atom_site_occupancy
La1 0.0000 0.0000 0.0000 1
Mn1 0.0000 0.5000 0.5000 1
Mo1 0.0000 0.0000 0.5000 1
Ir1 0.5000 0.5000 0.0000 1
# ρ in g cm⁻³: 8.1
# Calculated total energy in eV per atom: -7.394
# Total magnetization in μB per atom: 1.008

=====

Q: Which of these has the lowest total magnetization?
A: LaMn2MoIr